1.
Material: ThZnBi
Method: DFT, PBE-GGA
State: optimized geometry

Computed properties:
- SG = P3m1, No. 156
- formation enthalpy at 0 K (eV/atom) = -0.227

The structure in POSCAR format:
```
ThZnBi
1.0
4.769 0.000 0.000
-2.385 4.130 0.000
0.000 0.000 4.145
Th Zn Bi
1 1 1
direct
0.000 0.000 0.000 Th
0.667 0.333 0.337 Zn
0.333 0.667 0.529 Bi
```

---

2.
Material: NaCd4Sb2
Method: DFT, PBE-GGA
State: optimized geometry

Computed properties:
- SG = R-3m, No. 166
- energy relative to the elements, uncorrected (eV per atom) = -0.031

The structure in POSCAR format:
```
NaCd4Sb2
1.0
2.671 1.542 7.907
-2.671 1.542 7.907
0.000 -3.084 7.907
Na Cd Sb
1 4 2
direct
0.000 0.000 0.000 Na
0.129 0.129 0.129 Cd
0.434 0.434 0.434 Cd
0.566 0.566 0.566 Cd
0.871 0.871 0.871 Cd
0.251 0.251 0.251 Sb
0.749 0.749 0.749 Sb
```